No. 1
Compound: ErZrNp2N4
Source: Alexandria
Functional: PBE-GGA
Structure: optimized geometry

Cell lengths 3.3786, 5.8628, 5.8964 Å; angles 109.32, 90.00, 90.00 degrees
Last column: magnetic moment on the atom in μB.
Atoms (fractional coordinates):
Er1 0.5000 0.5000 0.0000  0.04
Zr1 0.0000 0.0000 0.0000  0.01
Np1 0.5000 0.0000 0.5000  2.95
Np2 0.0000 0.5000 0.5000  3.13
N1 0.5000 0.2412 0.2441  -0.09
N2 0.5000 0.7588 0.7559  -0.09
N3 0.0000 0.2421 0.7505  -0.09
N4 0.0000 0.7579 0.2495  -0.09

Output
total magnetization: 6.08 μB per cell
D(E_F): 12.0 states/eV/cell
E: -0.7690 Ry/atom


No. 2
Compound: Er2ZrNpN4
Source: Alexandria
Functional: PBE-GGA
Structure: optimized geometry

Cell lengths 3.3815, 5.8542, 5.8537 Å; angles 109.06, 90.00, 90.00 degrees
Last column: magnetic moment on the atom in μB.
Atoms (fractional coordinates):
Er1 0.5000 0.0000 0.5000  0.07
Er2 0.0000 0.5000 0.5000  0.09
Zr1 0.0000 0.0000 0.0000  0.07
Np1 0.5000 0.5000 0.0000  2.99
N1 0.5000 0.2453 0.2370  -0.04
N2 0.5000 0.7547 0.7630  -0.04
N3 0.0000 0.2483 0.7585  -0.08
N4 0.0000 0.7517 0.2415  -0.08

Output
total magnetization: 3.17 μB per cell
D(E_F): 6.7 states/eV/cell
E: -0.7046 Ry/atom


No. 3
Compound: Er2NO
Source: Alexandria
Functional: PBE-GGA
Structure: optimized geometry

Cell lengths 3.6739, 5.2557, 7.3863 Å; angles 90.00, 90.00, 90.00 degrees
Last column: magnetic moment on the atom in μB.
Atoms (fractional coordinates):
Er1 0.7010 0.5876 0.2262  0.42
Er2 0.7010 0.6254 0.7356  0.19
Er3 0.2010 0.1254 0.4804  0.19
Er4 0.2010 0.0876 0.9897  0.42
N1 0.2010 0.8701 0.7274  0.00
N2 0.7010 0.3701 0.4886  0.00
O1 0.2010 0.8502 0.2439  0.02
O2 0.7010 0.3502 0.9720  0.02

Output
total magnetization: 1.78 μB per cell
ΔE to the lowest computed polymorph: 0.258 eV/atom
D(E_F): 1.7 states/eV/cell


No. 4
Compound: Er4N2O
Source: Alexandria
Functional: PBE-GGA
Structure: optimized geometry

Cell lengths 3.3864, 5.8884, 6.6567 Å; angles 115.59, 104.74, 90.00 degrees
Last column: magnetic moment on the atom in μB.
Atoms (fractional coordinates):
Er1 0.1334 0.8092 0.2668  0.16
Er2 0.8666 0.1908 0.7332  0.16
Er3 0.3688 0.7067 0.7376  0.11
Er4 0.6312 0.2933 0.2624  0.11
N1 0.2544 0.2584 0.5089  -0.01
N2 0.7456 0.7416 0.4911  -0.01
O1 0.0000 0.0000 0.0000  0.00

Output
total magnetization: 0.60 μB per cell
D(E_F): 3.8 states/eV/cell
E: -0.5486 Ry/atom


No. 5
Compound: Er4N3O
Source: Alexandria
Functional: PBE-GGA
Structure: optimized geometry

Cell lengths 3.4090, 5.9005, 5.9005 Å; angles 70.62, 90.00, 90.00 degrees
Atoms (fractional coordinates):
N1 0.5000 0.0001 0.5000
N2 0.0000 0.0001 0.0000
N3 0.9999 0.5001 0.5000
O1 0.5000 0.5001 0.0000
Er1 0.0000 0.7562 0.7439
Er2 0.4999 0.7526 0.2525
Er3 0.0000 0.2441 0.2560
Er4 0.5000 0.2476 0.7475

Output
total magnetization: 0.00 μB per cell
ΔE to the lowest computed polymorph: 0.000 eV/atom
D(E_F): 1.4 states/eV/cell


No. 6
Compound: ErN2O3
Source: Alexandria
Functional: PBE-GGA
Structure: optimized geometry

Cell lengths 5.6370, 18.0782, 3.6949 Å; angles 121.18, 139.71, 90.00 degrees
Last column: magnetic moment on the atom in μB.
Atoms (fractional coordinates):
Er1 0.4001 0.2500 0.0000  -0.02
Er2 0.5999 0.7500 0.0000  -0.02
N1 0.3296 0.4484 0.6754  0.00
N2 0.3457 0.9484 0.6754  0.00
N3 0.6543 0.0516 0.3246  0.00
N4 0.6704 0.5516 0.3246  0.00
O1 0.2356 0.7500 0.0000  0.11
O2 0.7644 0.2500 0.0000  0.11
O3 0.8061 0.9398 0.6204  0.38
O4 0.1857 0.5602 0.3796  0.38
O5 0.8143 0.4398 0.6204  0.38
O6 0.1939 0.0602 0.3796  0.38

Output
total magnetization: 2.01 μB per cell
D(E_F): 0.6 states/eV/cell
E: -0.5141 Ry/atom


No. 7
Compound: ErNO
Source: Alexandria
Functional: PBE-GGA
Structure: optimized geometry

Cell lengths 3.6790, 3.7712, 8.6396 Å; angles 125.40, 90.22, 60.62 degrees
Atoms (fractional coordinates):
N1 0.1275 0.7440 0.9433
N2 0.8725 0.2560 0.0567
O1 0.2824 0.4333 0.3630
O2 0.7176 0.5667 0.6370
Er1 0.0258 0.9470 0.2795
Er2 0.9742 0.0530 0.7205

Output
total magnetization: 0.00 μB per cell
D(E_F): 2.2 states/eV/cell
E: -0.6008 Ry/atom


No. 8
Compound: Er2NO
Source: Alexandria
Functional: PBE-GGA
Structure: optimized geometry

Cell lengths 5.8783, 5.8749, 7.5931 Å; angles 104.91, 104.93, 109.56 degrees
Atoms (fractional coordinates):
Er1 0.1768 0.4356 0.3752
Er2 0.5673 0.3078 0.1251
Er3 0.0578 0.8173 0.1251
Er4 0.3016 0.0604 0.6248
Er5 0.6984 0.9396 0.3752
Er6 0.9422 0.1827 0.8749
Er7 0.4327 0.6922 0.8749
Er8 0.8232 0.5644 0.6248
N1 0.1872 0.9372 0.8744
N2 0.9379 0.6879 0.3757
N3 0.0621 0.3121 0.6243
N4 0.8128 0.0628 0.1256
O1 0.5636 0.8136 0.6272
O2 0.6887 0.4387 0.8774
O3 0.3113 0.5613 0.1226
O4 0.4364 0.1864 0.3728

Output
total magnetization: 0.00 μB per cell
ΔE to the lowest computed polymorph: 0.003 eV/atom
D(E_F): 3.7 states/eV/cell


No. 9
Compound: Er2NO
Source: Alexandria
Functional: PBE-GGA
Structure: optimized geometry

Cell lengths 3.3397, 3.3397, 6.1506 Å; angles 74.25, 74.25, 60.00 degrees
Atoms (fractional coordinates):
Er1 0.0767 0.0767 0.7699
Er2 0.2566 0.2566 0.2301
N1 0.6691 0.6691 0.9927
O1 0.4976 0.4976 0.5072

Output
total magnetization: 0.00 μB per cell
ΔE to the lowest computed polymorph: 0.149 eV/atom
D(E_F): 1.5 states/eV/cell


No. 10
Compound: Er5N4O
Source: Alexandria
Functional: PBE-GGA
Structure: optimized geometry

Cell lengths 3.4149, 4.8225, 9.0378 Å; angles 105.47, 100.89, 90.00 degrees
Atoms (fractional coordinates):
Er1 0.6042 0.1042 0.2084
Er2 0.8001 0.3001 0.6002
Er3 0.1999 0.6999 0.3998
Er4 0.0000 0.5000 0.0000
Er5 0.3958 0.8958 0.7916
N1 0.4019 0.4019 0.8038
N2 0.8024 0.8024 0.6048
N3 0.1976 0.1976 0.3952
N4 0.5981 0.5981 0.1962
O1 0.0000 0.0000 0.0000

Output
total magnetization: 0.00 μB per cell
D(E_F): 1.6 states/eV/cell
E: -0.6010 Ry/atom


No. 11
Compound: Er2NO
Source: Alexandria
Functional: PBE-GGA
Structure: optimized geometry

Cell lengths 3.3851, 3.3851, 5.9075 Å; angles 73.35, 73.35, 60.00 degrees
Atoms (fractional coordinates):
N1 0.5000 0.5000 0.5000
O1 0.0000 0.0000 0.0000
Er1 0.7536 0.7536 0.7392
Er2 0.2464 0.2464 0.2608

Output
total magnetization: 0.00 μB per cell
ΔE to the lowest computed polymorph: 0.000 eV/atom
D(E_F): 1.0 states/eV/cell


No. 12
Compound: ErPa3N2O6
Source: Alexandria
Functional: PBE-GGA
Structure: optimized geometry

Cell lengths 4.5483, 7.0077, 6.7915 Å; angles 121.06, 91.17, 90.00 degrees
Atoms (fractional coordinates):
Er1 0.5000 0.0000 0.0000
Pa1 0.0000 0.5000 0.0000
Pa2 0.5000 0.5000 0.5000
Pa3 0.5000 0.0000 0.5000
N1 0.2692 0.6638 0.3276
N2 0.7308 0.3362 0.6724
O1 0.7475 0.3373 0.1699
O2 0.2525 0.6627 0.8301
O3 0.7014 0.8314 0.6629
O4 0.2986 0.1686 0.3371
O5 0.2525 0.1674 0.8301
O6 0.7475 0.8326 0.1699

Output
total magnetization: 0.00 μB per cell
D(E_F): 0.0 states/eV/cell
E: -0.7029 Ry/atom


No. 13
Compound: Er3PbNO
Source: Alexandria
Functional: PBE-GGA
Structure: optimized geometry

Cell lengths 3.6653, 7.8007, 9.3555 Å; angles 112.79, 90.00, 90.00 degrees
Atoms (fractional coordinates):
Er1 0.2500 0.7933 0.4313
Er2 0.7500 0.8923 0.1472
Er3 0.7500 0.4654 0.1256
Er4 0.7500 0.2067 0.5687
Er5 0.2500 0.5346 0.8744
Er6 0.2500 0.1077 0.8528
Pb1 0.7500 0.7215 0.7084
Pb2 0.2500 0.2785 0.2916
N1 0.2500 0.6847 0.1364
N2 0.7500 0.3153 0.8636
O1 0.2500 0.0875 0.6118
O2 0.7500 0.9125 0.3882

Output
total magnetization: 0.00 μB per cell
D(E_F): 5.0 states/eV/cell
E: -0.4994 Ry/atom


No. 14
Compound: ErScNO
Source: Alexandria
Functional: PBE-GGA
Structure: optimized geometry

Cell lengths 3.0137, 3.0457, 5.9977 Å; angles 104.71, 104.55, 90.00 degrees
Atoms (fractional coordinates):
Er1 0.8194 0.3194 0.6388
Sc1 0.0792 0.0792 0.1584
N1 0.6607 0.6607 0.3213
O1 0.4199 0.9199 0.8397

Output
total magnetization: 0.05 μB per cell
D(E_F): 2.2 states/eV/cell
E: -0.5886 Ry/atom


No. 15
Compound: PrEr2OsN4
Source: Alexandria
Functional: PBE-GGA
Structure: optimized geometry

Cell lengths 3.4359, 6.0902, 11.5872 Å; angles 90.00, 90.00, 106.38 degrees
Atoms (fractional coordinates):
Pr1 0.1174 0.2347 0.7500
Pr2 0.8826 0.7653 0.2500
Er1 0.3688 0.7376 0.5409
Er2 0.6312 0.2624 0.0409
Er3 0.6312 0.2624 0.4591
Er4 0.3688 0.7376 0.9591
Os1 0.8558 0.7116 0.7500
Os2 0.1442 0.2884 0.2500
N1 0.2649 0.5298 0.1249
N2 0.7351 0.4702 0.6249
N3 0.7351 0.4702 0.8751
N4 0.2649 0.5298 0.3751
N5 0.0000 0.0000 0.5000
N6 0.0000 0.0000 0.0000
N7 0.4404 0.8809 0.7500
N8 0.5596 0.1191 0.2500

Output
total magnetization: 0.00 μB per cell
D(E_F): 5.3 states/eV/cell
E: -0.6087 Ry/atom


No. 16
Compound: Er2PN
Source: Alexandria
Functional: PBE-GGA
Structure: optimized geometry

Cell lengths 3.6569, 3.6569, 6.5154 Å; angles 73.70, 73.70, 60.00 degrees
Atoms (fractional coordinates):
P1 0.0000 0.0000 0.0000
N1 0.5000 0.5000 0.5000
Er1 0.2393 0.2393 0.2821
Er2 0.7607 0.7607 0.7179

Output
total magnetization: 0.00 μB per cell
ΔE to the lowest computed polymorph: 0.000 eV/atom
D(E_F): 0.5 states/eV/cell


No. 17
Compound: ErP4N7
Source: Alexandria
Functional: PBE-GGA
Structure: optimized geometry

Cell lengths 4.5616, 4.5816, 12.6488 Å; angles 90.00, 90.00, 90.00 degrees
Last column: magnetic moment on the atom in μB.
Atoms (fractional coordinates):
Er1 0.6281 0.8016 0.5000  0.10
Er2 0.1281 0.1984 0.0000  0.10
P1 0.5902 0.7032 0.8884  0.01
P2 0.0639 0.7836 0.2462  0.16
P3 0.5639 0.2164 0.2538  0.16
P4 0.0902 0.2968 0.6116  0.01
P5 0.0902 0.2968 0.3884  0.01
P6 0.5902 0.7032 0.1116  0.01
P7 0.0639 0.7836 0.7538  0.16
P8 0.5639 0.2164 0.7462  0.16
N1 0.9266 0.8165 0.1159  0.11
N2 0.4266 0.1835 0.3841  0.11
N3 0.5399 0.3512 0.8777  0.10
N4 0.0399 0.6488 0.6223  0.10
N5 0.0399 0.6488 0.3777  0.10
N6 0.5399 0.3512 0.1223  0.10
N7 0.4220 0.8754 0.7851  0.02
N8 0.9220 0.1246 0.7149  0.02
N9 0.9220 0.1246 0.2851  0.02
N10 0.4220 0.8754 0.2149  0.02
N11 0.4417 0.8028 0.0000  0.01
N12 0.9417 0.1972 0.5000  0.01
N13 0.9266 0.8165 0.8841  0.11
N14 0.4266 0.1835 0.6159  0.11

Output
total magnetization: 3.12 μB per cell
D(E_F): 5.1 states/eV/cell
E: -0.5396 Ry/atom


No. 18
Compound: ErPN2
Source: Alexandria
Functional: PBE-GGA
Structure: optimized geometry

Cell lengths 3.4960, 3.4960, 6.0396 Å; angles 73.18, 73.18, 60.00 degrees
Atoms (fractional coordinates):
P1 0.0000 0.0000 0.0000
N1 0.0963 0.0963 0.7110
N2 0.9037 0.9037 0.2890
Er1 0.5000 0.5000 0.5000

Output
total magnetization: 0.00 μB per cell
ΔE to the lowest computed polymorph: 0.617 eV/atom
D(E_F): 1.0 states/eV/cell


No. 19
Compound: Er2PN
Source: Alexandria
Functional: PBE-GGA
Structure: optimized geometry

Cell lengths 3.6009, 3.6009, 6.8175 Å; angles 74.69, 74.69, 60.00 degrees
Atoms (fractional coordinates):
Er1 0.0917 0.0917 0.7250
Er2 0.2439 0.2439 0.2684
P1 0.6671 0.6671 0.9987
N1 0.4974 0.4974 0.5079

Output
total magnetization: 0.00 μB per cell
ΔE to the lowest computed polymorph: 0.303 eV/atom
D(E_F): 0.3 states/eV/cell


No. 20
Compound: ErPN2
Source: Alexandria
Functional: PBE-GGA
Structure: optimized geometry

Cell lengths 3.5493, 7.1303, 6.7151 Å; angles 56.74, 58.09, 60.16 degrees
Atoms (fractional coordinates):
Er1 0.2975 0.2166 0.4737
Er2 0.2303 0.6680 0.5896
P1 0.1215 0.8238 0.0423
P2 0.4059 0.0608 0.0210
N1 0.0447 0.6183 0.3248
N2 0.4264 0.7838 0.7777
N3 0.1014 0.1008 0.2856
N4 0.4833 0.2662 0.7385

Output
total magnetization: 0.00 μB per cell
ΔE to the lowest computed polymorph: 0.000 eV/atom
D(E_F): 0.3 states/eV/cell